An optimized crystal structure of ZnCrGa3, computed with GGA-PBE.

Output
For the energy relative to the elements, the calculation gives 437.2 meV per atom. The value obtained for the density is 4.9 g/cm3. The relative energy among the computed polymorphs is 0 kJ/mol of formula units. The calculation puts the density of states at the Fermi level at 2.902 states/eV/f.u. The value obtained for the calculated volume is 110 Å³ per cell.

a = 4.7981 Å, b = 4.7981 Å, c = 4.7981 Å
α = 90.00°, β = 90.00°, γ = 90.00°
Last column: magnetic moment on the atom in μB.
Positions (direct):
Cr (0.0000, 0.0000, 0.0000)  2.25
Zn (0.5000, 0.5000, 0.5000)  0.09
Ga (0.0000, 0.5000, 0.0000)  0.03
Ga (0.0000, 0.0000, 0.5000)  0.06
Ga (0.5000, 0.0000, 0.0000)  -0.01